Entry P
Computed, not measured: a relaxed structure of Li2Re2Mo at the PBE level of DFT.

Calculated values
- space group = I4/mmm (139)
- calculated volume (Å³/atom) = 14.75

Cell lengths 8.034, 8.034, 8.034 Å; angles 157.84, 157.84, 31.55 degrees
Positions (direct):
1 Li 0.250 0.750 0.500
2 Li 0.750 0.250 0.500
3 Re 0.098 0.098 0.000
4 Re 0.902 0.902 0.000
5 Mo 0.500 0.500 0.000



Entry Q
Computed, not measured: a relaxed structure of Li2Re2Mo at the PBE level of DFT.

Calculated values
- space group = P4/mbm (127)
- calculated volume (Å³/atom) = 14.09

Cell lengths 7.427, 7.427, 2.555 Å; angles 90.00, 90.00, 90.00 degrees
Positions (direct):
1 Li 0.179 0.321 0.000
2 Li 0.321 0.821 0.000
3 Li 0.679 0.179 0.000
4 Li 0.821 0.679 0.000
5 Re 0.118 0.618 0.500
6 Re 0.382 0.118 0.500
7 Re 0.618 0.882 0.500
8 Re 0.882 0.382 0.500
9 Mo 0.000 0.000 0.500
10 Mo 0.500 0.500 0.500



Of them, entry P has the lowest stability.



Entry P
Computed, not measured: a relaxed structure of LiMoRh at the PBE level of DFT.

Calculated values
- space group = Fmm2 (42)
- calculated volume (Å³/atom) = 14.92

Cell lengths 7.176, 6.971, 2.680 Å; angles 83.43, 74.79, 21.78 degrees
Positions (direct):
1 Li 0.000 0.000 0.000
2 Mo 0.320 0.320 0.680
3 Rh 0.660 0.660 0.340



Entry Q
Computed, not measured: a relaxed structure of LiMoRh at the PBE level of DFT.

Calculated values
- space group = F-43m (216)
- calculated volume (Å³/atom) = 16.54

Cell lengths 4.124, 4.124, 4.124 Å; angles 60.00, 60.00, 60.00 degrees
Positions (direct):
1 Li 0.000 0.000 0.000
2 Mo 0.500 0.500 0.500
3 Rh 0.750 0.750 0.750



Of them, entry Q has the lowest stability.



Entry P
Computed, not measured: a relaxed structure of LiMoRh at the PBE level of DFT.

Calculated values
- space group = I4mm (107)
- calculated volume (Å³/atom) = 13.71

Cell lengths 5.029, 5.029, 5.029 Å; angles 145.24, 145.24, 49.97 degrees
Positions (direct):
1 Li 0.000 0.000 0.000
2 Mo 0.681 0.681 0.000
3 Rh 0.349 0.349 0.000



Entry Q
Computed, not measured: a relaxed structure of LiMoRh at the PBE level of DFT.

Calculated values
- space group = P3m1 (156)
- calculated volume (Å³/atom) = 14.10

Cell lengths 4.279, 4.279, 2.669 Å; angles 90.00, 90.00, 120.00 degrees
Positions (direct):
1 Li 0.000 0.000 0.000
2 Mo 0.667 0.333 0.385
3 Rh 0.333 0.667 0.674



Entry R
Computed, not measured: a relaxed structure of LiMoRh at the PBE level of DFT.

Calculated values
- space group = Amm2 (38)
- calculated volume (Å³/atom) = 14.91

Cell lengths 13.795, 2.737, 2.737 Å; angles 59.96, 90.00, 90.00 degrees
Positions (direct):
1 Li 0.153 0.000 0.000
2 Li 0.847 0.000 0.000
3 Mo 0.338 0.666 0.666
4 Mo 0.662 0.666 0.666
5 Rh 0.000 0.667 0.667
6 Rh 0.500 0.999 0.999



Of them, entry R has the lowest stability.



Entry P
Computed, not measured: a relaxed structure of LiMo3Rh at the PBE level of DFT.

Calculated values
- space group = Pm-3m (221)
- calculated volume (Å³/atom) = 14.63

Cell lengths 4.182, 4.182, 4.182 Å; angles 90.00, 90.00, 90.00 degrees
Positions (direct):
1 Li 0.000 0.000 0.000
2 Mo 0.000 0.000 0.500
3 Mo 0.000 0.500 0.000
4 Mo 0.500 0.000 0.000
5 Rh 0.500 0.500 0.500



Entry Q
Computed, not measured: a relaxed structure of LiMo3Rh at the PBE level of DFT.

Calculated values
- space group = Pm-3m (221)
- calculated volume (Å³/atom) = 21.35

Cell lengths 4.744, 4.744, 4.744 Å; angles 90.00, 90.00, 90.00 degrees
Positions (direct):
1 Li 0.000 0.000 0.000
2 Mo 0.000 0.500 0.500
3 Mo 0.500 0.000 0.500
4 Mo 0.500 0.500 0.000
5 Rh 0.500 0.500 0.500



Of them, entry Q has the lowest stability.



Entry P
Computed, not measured: a relaxed structure of LiMoRu at the PBE level of DFT.

Calculated values
- space group = P3m1 (156)
- calculated volume (Å³/atom) = 14.09

Cell lengths 4.300, 4.300, 2.639 Å; angles 90.00, 90.00, 120.00 degrees
Positions (direct):
1 Li 0.000 0.000 0.000
2 Mo 0.667 0.333 0.380
3 Ru 0.333 0.667 0.642



Entry Q
Computed, not measured: a relaxed structure of LiMoRu at the PBE level of DFT.

Calculated values
- space group = I4mm (107)
- calculated volume (Å³/atom) = 13.97

Cell lengths 4.904, 4.904, 4.904 Å; angles 143.28, 143.28, 52.91 degrees
Positions (direct):
1 Li 0.000 0.000 0.000
2 Mo 0.319 0.319 0.000
3 Ru 0.664 0.664 0.000



Of them, entry Q has the lowest stability.



Entry P
Computed, not measured: a relaxed structure of LiMoRu at the PBE level of DFT.

Calculated values
- space group = Fmm2 (42)
- calculated volume (Å³/atom) = 15.05

Cell lengths 7.246, 7.053, 2.665 Å; angles 83.36, 75.21, 21.43 degrees
Positions (direct):
1 Li 0.000 0.000 0.000
2 Mo 0.320 0.320 0.680
3 Ru 0.663 0.663 0.337



Entry Q
Computed, not measured: a relaxed structure of LiMoRu at the PBE level of DFT.

Calculated values
- space group = Immm (71)
- calculated volume (Å³/atom) = 15.99

Cell lengths 5.822, 5.822, 5.822 Å; angles 138.05, 132.47, 65.24 degrees
Positions (direct):
1 Li 0.241 0.000 0.241
2 Li 0.759 0.000 0.759
3 Mo 0.230 0.730 0.500
4 Mo 0.770 0.270 0.500
5 Ru 0.369 0.369 0.000
6 Ru 0.631 0.631 0.000



Entry R
Computed, not measured: a relaxed structure of LiMoRu at the PBE level of DFT.

Calculated values
- space group = Imm2 (44)
- calculated volume (Å³/atom) = 13.96

Cell lengths 4.494, 4.494, 4.494 Å; angles 144.96, 125.45, 66.50 degrees
Positions (direct):
1 Li 0.000 0.000 0.000
2 Mo 0.333 0.333 0.000
3 Ru 0.662 0.662 0.000



Of them, entry P has the lowest stability.



Entry P
Computed, not measured: a relaxed structure of LiMo2Ru at the PBE level of DFT.

Calculated values
- space group = Cmmm (65)
- calculated volume (Å³/atom) = 15.45

Cell lengths 2.660, 2.660, 9.415 Å; angles 90.00, 90.00, 111.87 degrees
Positions (direct):
1 Li 0.000 0.000 0.000
2 Mo 0.500 0.500 0.261
3 Mo 0.500 0.500 0.739
4 Ru 0.000 0.000 0.500



Entry Q
Computed, not measured: a relaxed structure of LiMo2Ru at the PBE level of DFT.

Calculated values
- space group = R-3m (166)
- calculated volume (Å³/atom) = 15.47

Cell lengths 9.575, 9.575, 9.575 Å; angles 16.52, 16.52, 16.52 degrees
Positions (direct):
1 Li 0.000 0.000 0.000
2 Mo 0.245 0.245 0.245
3 Mo 0.755 0.755 0.755
4 Ru 0.500 0.500 0.500



Entry R
Computed, not measured: a relaxed structure of LiMo2Ru at the PBE level of DFT.

Calculated values
- space group = P4mm (99)
- calculated volume (Å³/atom) = 14.28

Cell lengths 3.189, 3.189, 5.617 Å; angles 90.00, 90.00, 90.00 degrees
Positions (direct):
1 Li 0.000 0.000 0.000
2 Mo 0.000 0.000 0.509
3 Mo 0.500 0.500 0.248
4 Ru 0.500 0.500 0.785



Of them, entry P has the lowest stability.



Entry P
Computed, not measured: a relaxed structure of LiMo3Ru at the PBE level of DFT.

Calculated values
- space group = Pm-3m (221)
- calculated volume (Å³/atom) = 21.13

Cell lengths 4.727, 4.727, 4.727 Å; angles 90.00, 90.00, 90.00 degrees
Positions (direct):
1 Li 0.000 0.000 0.000
2 Mo 0.000 0.500 0.500
3 Mo 0.500 0.000 0.500
4 Mo 0.500 0.500 0.000
5 Ru 0.500 0.500 0.500



Entry Q
Computed, not measured: a relaxed structure of LiMo3Ru at the PBE level of DFT.

Calculated values
- space group = Pm-3m (221)
- calculated volume (Å³/atom) = 14.63

Cell lengths 4.182, 4.182, 4.182 Å; angles 90.00, 90.00, 90.00 degrees
Positions (direct):
1 Li 0.000 0.000 0.000
2 Mo 0.000 0.000 0.500
3 Mo 0.000 0.500 0.000
4 Mo 0.500 0.000 0.000
5 Ru 0.500 0.500 0.500



Of them, entry P has the lowest stability.



Entry P
Computed, not measured: a relaxed structure of Li2Mo2S at the PBE level of DFT.

Calculated values
- space group = I4/mmm (139)
- calculated volume (Å³/atom) = 14.31

Cell lengths 7.881, 7.881, 7.881 Å; angles 157.51, 157.51, 32.01 degrees
Positions (direct):
1 Li 0.250 0.750 0.500
2 Li 0.750 0.250 0.500
3 Mo 0.088 0.088 0.000
4 Mo 0.912 0.912 0.000
5 S 0.500 0.500 0.000



Entry Q
Computed, not measured: a relaxed structure of Li2Mo2S at the PBE level of DFT.

Calculated values
- space group = P4/mbm (127)
- calculated volume (Å³/atom) = 16.88

Cell lengths 6.016, 6.016, 4.663 Å; angles 90.00, 90.00, 90.00 degrees
Positions (direct):
1 Li 0.154 0.346 0.000
2 Li 0.346 0.846 0.000
3 Li 0.654 0.154 0.000
4 Li 0.846 0.654 0.000
5 Mo 0.142 0.642 0.500
6 Mo 0.358 0.142 0.500
7 Mo 0.642 0.858 0.500
8 Mo 0.858 0.358 0.500
9 S 0.000 0.000 0.500
10 S 0.500 0.500 0.500



Of them, entry P has the lowest stability.



Entry P
Computed, not measured: a relaxed structure of LiMoS2 at the PBE level of DFT.

Calculated values
- space group = I-42d (122)
- calculated volume (Å³/atom) = 20.98

Cell lengths 6.685, 6.685, 6.685 Å; angles 130.71, 130.71, 72.28 degrees
Positions (direct):
1 Li 0.000 0.000 0.000
2 Li 0.750 0.250 0.500
3 Mo 0.250 0.750 0.500
4 Mo 0.500 0.500 0.000
5 S 0.153 0.625 0.028
6 S 0.375 0.403 0.528
7 S 0.597 0.125 0.972
8 S 0.875 0.847 0.472



Entry Q
Computed, not measured: a relaxed structure of LiMoS2 at the PBE level of DFT.

Calculated values
- space group = P-1 (2)
- calculated volume (Å³/atom) = 15.59

Cell lengths 6.277, 6.672, 6.802 Å; angles 61.09, 89.90, 89.80 degrees
Positions (direct):
1 Li 0.010 0.482 0.290
2 Li 0.021 0.991 0.260
3 Li 0.979 0.009 0.740
4 Li 0.990 0.518 0.710
5 Mo 0.496 0.943 0.808
6 Mo 0.500 0.492 0.210
7 Mo 0.500 0.508 0.790
8 Mo 0.504 0.057 0.192
9 S 0.227 0.655 0.931
10 S 0.254 0.182 0.895
11 S 0.282 0.152 0.431
12 S 0.302 0.678 0.409
13 S 0.698 0.322 0.591
14 S 0.718 0.848 0.569
15 S 0.746 0.818 0.105
16 S 0.773 0.345 0.069



Entry R
Computed, not measured: a relaxed structure of LiMoS2 at the PBE level of DFT.

Calculated values
- space group = Fm-3m (225)
- calculated volume (Å³/atom) = 13.92

Cell lengths 4.287, 4.287, 4.287 Å; angles 60.00, 60.00, 60.00 degrees
Positions (direct):
1 Li 0.000 0.000 0.000
2 Mo 0.500 0.500 0.500
3 S 0.250 0.250 0.250
4 S 0.750 0.750 0.750



Of them, entry R has the lowest stability.



Entry P
Computed, not measured: a relaxed structure of LiMoS2 at the PBE level of DFT.

Calculated values
- space group = R-3m (166)
- calculated volume (Å³/atom) = 16.52

Cell lengths 8.264, 8.264, 8.264 Å; angles 21.44, 21.44, 21.44 degrees
Positions (direct):
1 Li 0.000 0.000 0.000
2 Mo 0.500 0.500 0.500
3 S 0.406 0.406 0.406
4 S 0.594 0.594 0.594



Entry Q
Computed, not measured: a relaxed structure of LiMoS2 at the PBE level of DFT.

Calculated values
- space group = R-3m (166)
- calculated volume (Å³/atom) = 17.99

Cell lengths 7.978, 7.978, 7.978 Å; angles 23.68, 23.68, 23.68 degrees
Positions (direct):
1 Li 0.000 0.000 0.000
2 Mo 0.500 0.500 0.500
3 S 0.099 0.099 0.099
4 S 0.901 0.901 0.901



Of them, entry P has the lowest stability.



Entry P
Computed, not measured: a relaxed structure of Li3MoS at the PBE level of DFT.

Calculated values
- space group = Pm-3m (221)
- calculated volume (Å³/atom) = 20.28

Cell lengths 4.663, 4.663, 4.663 Å; angles 90.00, 90.00, 90.00 degrees
Positions (direct):
1 Li 0.000 0.000 0.500
2 Li 0.000 0.500 0.000
3 Li 0.500 0.000 0.000
4 Mo 0.500 0.500 0.500
5 S 0.000 0.000 0.000



Entry Q
Computed, not measured: a relaxed structure of Li3MoS at the PBE level of DFT.

Calculated values
- space group = Pm-3m (221)
- calculated volume (Å³/atom) = 25.77

Cell lengths 5.051, 5.051, 5.051 Å; angles 90.00, 90.00, 90.00 degrees
Positions (direct):
1 Li 0.000 0.000 0.500
2 Li 0.000 0.500 0.000
3 Li 0.500 0.000 0.000
4 Mo 0.000 0.000 0.000
5 S 0.500 0.500 0.500



Of them, entry Q has the lowest stability.